Density functional theory data (GGA-PBE) for crystalline LiCePuAl at its relaxed geometry.

volume	21.586	Å³ per atom
calculated formation energy	-20.8	meV/atom
density of states at the Fermi level	7.02	states/eV per cell
symmetry	F-43m

Cell: 4.9611 4.9611 4.9611 Å, 60.00 60.00 60.00°
Sites, in units of the cell vectors:
Li1 0.0000 0.0000 0.0000
Ce1 0.7500 0.7500 0.7500
Pu1 0.5000 0.5000 0.5000
Al1 0.2500 0.2500 0.2500